Entry 1:
Entry from the Alexandria database: a relaxed structure of Pu3Mo5N12 (GGA-PBE).

Geometry as POSCAR:
```
Pu3Mo5N12
1.0
-6.382 6.382 6.382
6.382 -6.382 6.382
6.382 6.382 -6.382
Pu Mo N
12 20 48
direct
0.125 0.250 0.375
0.125 0.375 0.750
0.250 0.375 0.125
0.250 0.875 0.625
0.375 0.125 0.250
0.375 0.750 0.125
0.625 0.250 0.875
0.625 0.875 0.750
0.750 0.125 0.375
0.750 0.625 0.875
0.875 0.625 0.250
0.875 0.750 0.625
0.000 0.000 0.000
0.000 0.000 0.500
0.000 0.500 0.000
0.000 0.500 0.500
0.125 0.750 0.875
0.125 0.875 0.250
0.250 0.125 0.875
0.250 0.625 0.375
0.375 0.250 0.625
0.375 0.625 0.750
0.500 0.000 0.000
0.500 0.000 0.500
0.500 0.500 0.000
0.500 0.500 0.500
0.625 0.375 0.250
0.625 0.750 0.375
0.750 0.375 0.625
0.750 0.875 0.125
0.875 0.125 0.750
0.875 0.250 0.125
0.024 0.204 0.120
0.024 0.319 0.904
0.084 0.704 0.681
0.084 0.880 0.404
0.096 0.620 0.416
0.096 0.976 0.681
0.120 0.024 0.204
0.120 0.596 0.916
0.181 0.204 0.584
0.181 0.476 0.596
0.204 0.120 0.024
0.204 0.584 0.181
0.296 0.319 0.916
0.296 0.476 0.380
0.319 0.904 0.024
0.319 0.916 0.296
0.380 0.296 0.476
0.380 0.584 0.904
0.404 0.084 0.880
0.404 0.819 0.524
0.416 0.096 0.620
0.416 0.819 0.796
0.476 0.380 0.296
0.476 0.596 0.181
0.524 0.404 0.819
0.524 0.620 0.704
0.584 0.181 0.204
0.584 0.904 0.380
0.596 0.181 0.476
0.596 0.916 0.120
0.620 0.416 0.096
0.620 0.704 0.524
0.681 0.084 0.704
0.681 0.096 0.976
0.704 0.524 0.620
0.704 0.681 0.084
0.796 0.416 0.819
0.796 0.880 0.976
0.819 0.524 0.404
0.819 0.796 0.416
0.880 0.404 0.084
0.880 0.976 0.796
0.904 0.024 0.319
0.904 0.380 0.584
0.916 0.120 0.596
0.916 0.296 0.319
0.976 0.681 0.096
0.976 0.796 0.880
```

- symmetry = Ia-3d, No. 230
- total energy (eV per cell) = -836.6

Entry 2:
Entry from the Alexandria database: a relaxed structure of PuMoN4 (GGA-PBE).

Geometry as POSCAR:
```
PuMoN4
1.0
5.733 0.000 0.000
0.000 4.854 0.000
-2.249 0.000 5.453
Pu Mo N
2 2 8
direct
0.000 0.000 0.000
0.000 0.500 0.500
0.500 0.000 0.500
0.500 0.500 0.000
0.169 0.192 0.370
0.169 0.308 0.870
0.359 0.705 0.680
0.359 0.795 0.180
0.641 0.205 0.820
0.641 0.295 0.320
0.831 0.692 0.130
0.831 0.808 0.630
```

- symmetry = P2_1/c, No. 14
- total energy (eV per cell) = -119.1

Entry 3:
Entry from the Alexandria database: a relaxed structure of PuMo3N4 (GGA-PBE).

Geometry as POSCAR:
```
PuMo3N4
1.0
5.702 0.000 0.000
0.000 11.582 0.000
0.000 0.000 3.103
Pu Mo N
2 6 8
direct
0.000 0.000 0.000
0.500 0.500 0.000
0.000 0.246 0.500
0.000 0.500 0.500
0.000 0.754 0.500
0.500 0.000 0.500
0.500 0.254 0.500
0.500 0.746 0.500
0.241 0.121 0.500
0.241 0.879 0.500
0.259 0.379 0.500
0.259 0.621 0.500
0.741 0.379 0.500
0.741 0.621 0.500
0.759 0.121 0.500
0.759 0.879 0.500
```

- symmetry = Cmmm, No. 65
- total energy (eV per cell) = -166.4

Entry 4:
Entry from the Alexandria database: a relaxed structure of Pu4MoN5 (GGA-PBE).

Geometry as POSCAR:
```
Pu4MoN5
1.0
-1.701 1.701 11.933
1.701 -1.701 11.933
1.701 1.701 -11.933
Pu Mo N
4 1 5
direct
0.092 0.092 0.000
0.303 0.303 0.000
0.697 0.697 0.000
0.908 0.908 0.000
0.500 0.500 0.000
0.000 0.000 0.000
0.202 0.202 0.000
0.407 0.407 0.000
0.593 0.593 0.000
0.798 0.798 0.000
```

- symmetry = I4/mmm, No. 139
- total energy (eV per cell) = -119.8

Entry 5:
Entry from the Alexandria database: a relaxed structure of Pu2Mo2N7 (GGA-PBE).

Geometry as POSCAR:
```
Pu2Mo2N7
1.0
3.410 -4.756 0.000
3.410 4.756 0.000
-0.913 0.000 5.155
Pu Mo N
2 2 7
direct
0.186 0.814 0.000
0.814 0.186 0.000
0.252 0.252 0.600
0.748 0.748 0.400
0.083 0.083 0.263
0.095 0.431 0.794
0.431 0.095 0.794
0.500 0.500 0.500
0.569 0.905 0.206
0.905 0.569 0.206
0.917 0.917 0.737
```

- symmetry = C2/m, No. 12
- total energy (eV per cell) = -114.7

Entry 6:
Entry from the Alexandria database: a relaxed structure of RbPuMoN3 (GGA-PBE).

Geometry as POSCAR:
```
RbPuMoN3
1.0
8.143 -1.777 0.000
8.143 1.777 0.000
-2.175 0.000 7.623
Rb Pu Mo N
2 2 2 6
direct
0.147 0.147 0.064
0.853 0.853 0.936
0.164 0.164 0.530
0.836 0.836 0.470
0.480 0.480 0.330
0.520 0.520 0.670
0.025 0.025 0.298
0.303 0.303 0.606
0.363 0.363 0.275
0.637 0.637 0.725
0.697 0.697 0.394
0.975 0.975 0.702
```

- symmetry = C2/m, No. 12
- total energy (eV per cell) = -109.0

Short version: formation energy (no corrections) = -0.60; -0.18; -0.38; -1.00; -0.56; -0.57 eV/atom, in the order given.
Short version: total magnetic moment = 14.88; 1.99; 4.73; 0.83; 7.00; 3.75 μB/f.u., in the order given.
Short version: calculated volume = 12.99; 12.65; 12.81; 13.80; 15.20; 18.38 Å³/atom, in the order given.